No. 1
DFT (PBE) results for a relaxed structure of CoC.

Geometry as POSCAR:
```
CoC
1.0
2.7247 0.0000 0.0000
0.0000 4.4325 0.0000
0.0000 0.0000 5.3610
C Co
4 4
Direct
0.0000 0.6681 0.3727
0.0000 0.3319 0.3727
0.5000 0.1681 0.8727
0.5000 0.8319 0.8727
0.0000 0.5000 0.9959
0.5000 0.0000 0.4959
0.0000 0.0000 0.1161
0.5000 0.5000 0.6161
```

* DOS(E_F): 5.81 states/eV per cell
* DFT total energy: -7.62 eV/atom
* symmetry: Imm2 (44)
* calculated volume: 64.7 Å³ per cell
* formation enthalpy at 0 K: 0.54 eV per atom

=====

No. 2
DFT (PBE) results for a relaxed structure of Co5C3.

Geometry as POSCAR:
```
Co5C3
1.0
-1.2840 1.8949 0.9158
-0.1974 -1.1765 2.1576
9.3567 4.6902 3.4134
Co C
5 3
Direct
0.0000 0.0000 0.0000
0.0000 0.0000 0.2142
0.0000 0.0000 0.7858
0.5000 0.5000 0.3964
0.5000 0.5000 0.6036
0.0000 0.0000 0.5000
0.5000 0.5000 0.1303
0.5000 0.5000 0.8697
```

* DOS(E_F): 6.21 states/eV per cell
* DFT total energy: -7.23 eV/atom
* symmetry: P4/mmm (123)
* distance to the lowest polymorph of the same formula: 246 meV/atom
* calculated volume: 66.9 Å³ per cell
* formation enthalpy at 0 K: 0.67 eV per atom

=====

No. 3
DFT (PBE) results for a relaxed structure of CoC.

Geometry as POSCAR:
```
CoC
1.0
-5.0225 -2.7405 4.2128
-3.3015 -5.6958 2.6725
5.1870 4.4718 -1.8928
C Co
2 2
Direct
0.3950 0.6450 0.2500
0.6050 0.3550 0.7500
0.9052 0.1552 0.2500
0.0948 0.8448 0.7500
```

* DOS(E_F): 2.29 states/eV per cell
* DFT total energy: -7.17 eV/atom
* symmetry: Imma (74)
* calculated volume: 47.3 Å³ per cell
* formation enthalpy at 0 K: 0.99 eV per atom

=====

No. 4
DFT (PBE) results for a relaxed structure of Co5C.

Geometry as POSCAR:
```
Co5C
1.0
1.9984 -5.8561 0.0000
1.9984 5.8561 0.0000
0.0000 0.0000 2.5120
Co C
5 1
Direct
0.3773 0.6227 0.5000
0.1888 0.8112 0.0000
0.0000 0.0000 0.5000
0.8112 0.1888 0.0000
0.6227 0.3773 0.5000
0.5000 0.5000 0.0000
```

* DOS(E_F): 5.14 states/eV per cell
* DFT total energy: -7.22 eV/atom
* symmetry: Cmmm (65)
* distance to the lowest polymorph of the same formula: 59 meV/atom
* calculated volume: 58.8 Å³ per cell
* formation enthalpy at 0 K: 0.24 eV per atom